The following is a PBE calculation of an optimized crystal structure of CsAc2I7, from Alexandria.

abc: 6.5075 9.7895 9.7896
angles: 116.08 90.00 90.00
Fractional coordinates of all 10 atoms:
1 I 0.5000 0.3243 0.0516
2 I 0.5000 0.9484 0.6757
3 I 0.0000 0.2857 0.7143
4 I 0.5000 0.6757 0.9484
5 I 0.5000 0.5000 0.5000
6 I 0.5000 0.0516 0.3243
7 I 0.0000 0.7143 0.2857
8 Ac 0.5000 0.3014 0.6986
9 Ac 0.5000 0.6986 0.3014
10 Cs 0.0000 0.0000 0.0000

Computed properties:
calculated density: 4.37 g/cm³
formation energy without anion corrections: -1.54 eV per atom

***

The following is a PBE calculation of an optimized crystal structure of DyThPd3, from Alexandria.

abc: 4.2838 5.8183 8.9838
angles: 90.00 90.00 90.00
Fractional coordinates of all 10 atoms:
1 Th 0.0000 0.5000 0.8893
2 Th 0.5000 0.0000 0.1107
3 Pd 0.5000 0.2415 0.7248
4 Pd 0.0000 0.0000 0.8748
5 Pd 0.5000 0.7585 0.7248
6 Pd 0.0000 0.2585 0.2752
7 Pd 0.0000 0.7415 0.2752
8 Pd 0.5000 0.5000 0.1252
9 Dy 0.5000 0.5000 0.4492
10 Dy 0.0000 0.0000 0.5508

Computed properties:
E above lowest polymorph: 0 meV/atom
calculated density: 10.59 g/cm³
ΔH_f (0 K): -837.7 meV/atom

***

The following is a PBE calculation of an optimized crystal structure of Tm4Th2Sc, from Alexandria.

abc: 5.3043 5.3043 9.2283
angles: 106.70 106.70 90.00
Fractional coordinates of all 7 atoms:
1 Tm 0.0000 0.5000 0.0000
2 Tm 0.1772 0.1772 0.3544
3 Tm 0.5000 0.0000 0.0000
4 Tm 0.8228 0.8228 0.6456
5 Sc 0.0000 0.0000 0.0000
6 Th 0.6194 0.6194 0.2388
7 Th 0.3806 0.3806 0.7612

Computed properties:
E above lowest polymorph: 400 meV/atom
calculated density: 8.29 g/cm³
ΔH_f (0 K): 708.8 meV/atom

***

The following is a PBE calculation of an optimized crystal structure of AgTe3Se, from Alexandria.

abc: 5.3743 5.3743 5.3743
angles: 90.00 90.00 90.00
Fractional coordinates of all 5 atoms:
1 Ag 0.0000 0.0000 0.0000
2 Te 0.0000 0.5000 0.0000
3 Te 0.0000 0.0000 0.5000
4 Te 0.5000 0.0000 0.0000
5 Se 0.5000 0.5000 0.5000

Computed properties:
E above lowest polymorph: 588 meV/atom
calculated density: 6.09 g/cm³
formation energy without anion corrections: 0.73 eV per atom

***

The following is a PBE calculation of an optimized crystal structure of Tb2Pr8Dy, from Alexandria.

abc: 6.7756 10.4441 10.4441
angles: 38.49 59.98 59.98
Fractional coordinates of all 11 atoms:
1 Pr 0.2324 0.8247 0.3478
2 Pr 0.7676 0.6522 0.1753
3 Pr 0.1676 0.7555 0.7555
4 Pr 0.2733 0.4049 0.4049
5 Pr 0.8324 0.2445 0.2445
6 Pr 0.2324 0.3478 0.8247
7 Pr 0.7267 0.5951 0.5951
8 Pr 0.7676 0.1753 0.6522
9 Dy 0.0000 0.0000 0.0000
10 Tb 0.5809 0.8051 0.8051
11 Tb 0.4191 0.1949 0.1949

Computed properties:
calculated density: 6.84 g/cm³
ΔH_f (0 K): 162.3 meV/atom

***

The following is a PBE calculation of an optimized crystal structure of TaBWI2, from Alexandria.

abc: 5.5202 5.0370 5.5202
angles: 90.00 90.00 90.00
Fractional coordinates of all 5 atoms:
1 Ta 0.0000 0.0000 0.0000
2 B 0.5000 0.5000 0.5000
3 I 0.5000 0.0000 0.0000
4 I 0.0000 0.0000 0.5000
5 W 0.0000 0.5000 0.0000

Computed properties:
calculated density: 6.81 g/cm³
formation energy without anion corrections: 2.24 eV per atom

***

The following is a PBE calculation of an optimized crystal structure of Ta2RhCl, from Alexandria.

abc: 4.6033 4.6033 4.6033
angles: 60.00 60.00 60.00
Fractional coordinates of all 4 atoms:
1 Rh 0.7500 0.7500 0.7500
2 Cl 0.5000 0.5000 0.5000
3 Ta 0.0000 0.0000 0.0000
4 Ta 0.2500 0.2500 0.2500

Computed properties:
E above lowest polymorph: 955 meV/atom
calculated density: 12.04 g/cm³
formation energy without anion corrections: 0.73 eV per atom

***

The following is a PBE calculation of an optimized crystal structure of Nb6FePd3, from Alexandria.

abc: 7.0668 5.4658 5.4658
angles: 57.98 75.77 75.77
Fractional coordinates of all 10 atoms:
1 Pd 0.6816 0.8938 0.8938
2 Pd 0.0000 0.0000 0.0000
3 Pd 0.3184 0.1062 0.1062
4 Nb 0.0863 0.6477 0.6477
5 Nb 0.6874 0.8936 0.4036
6 Nb 0.3126 0.5964 0.1064
7 Nb 0.6874 0.4036 0.8936
8 Nb 0.3126 0.1064 0.5964
9 Nb 0.9137 0.3523 0.3523
10 Fe 0.5000 0.5000 0.5000

Computed properties:
calculated density: 9.01 g/cm³
ΔH_f (0 K): 85.9 meV/atom